(1)
Below is a relaxed AsSe3I crystal, with properties calculated at the GGA-PBE level.

E_form (uncorrected) (meV per atom): 532
Polymorph energy (0 for the lowest one) (meV/atom): 472

Unit cell a=5.115 b=5.115 c=5.115 alpha=90.00 beta=90.00 gamma=90.00
Atoms (fractional coordinates):
Se (0.000, 0.000, 0.500)
Se (0.000, 0.500, 0.000)
Se (0.500, 0.000, 0.000)
As (0.000, 0.000, 0.000)
I (0.500, 0.500, 0.500)

---

(2)
Below is a relaxed AsSeI2 crystal, with properties calculated at the GGA-PBE level.

E_form (uncorrected) (meV per atom): 35
Polymorph energy (0 for the lowest one) (meV/atom): 0

Unit cell a=4.033 b=6.628 c=5.981 alpha=77.51 beta=87.04 gamma=66.93
Atoms (fractional coordinates):
I (0.396, 0.452, 0.688)
I (0.326, 0.828, 0.971)
As (0.632, 0.055, 0.557)
Se (0.146, 0.166, 0.283)

---

(3)
Below is a relaxed As2SeI2 crystal, with properties calculated at the GGA-PBE level.

E_form (uncorrected) (meV per atom): 72

Unit cell a=8.460 b=7.919 c=6.628 alpha=96.26 beta=90.00 gamma=122.29
Atoms (fractional coordinates):
I (0.537, 0.697, 0.756)
I (0.463, 0.303, 0.244)
I (0.840, 0.303, 0.744)
I (0.160, 0.697, 0.256)
Se (0.100, 0.000, 0.750)
Se (0.900, 0.000, 0.250)
As (0.812, 0.729, 0.539)
As (0.917, 0.729, 0.039)
As (0.188, 0.271, 0.461)
As (0.083, 0.271, 0.961)

---

(4)
Below is a relaxed AsSeI crystal, with properties calculated at the GGA-PBE level.

E_form (uncorrected) (meV per atom): 46

Unit cell a=4.268 b=6.032 c=13.431 alpha=77.09 beta=71.41 gamma=45.00
Atoms (fractional coordinates):
Se (0.116, 0.743, 0.393)
Se (0.879, 0.254, 0.612)
As (0.706, 0.256, 0.782)
As (0.289, 0.741, 0.222)
I (0.365, 0.240, 0.147)
I (0.630, 0.757, 0.858)